BeCoTeN2 | PBE | relaxed

Cell: 3.476 3.476 5.794 Å, 90.00 90.00 90.00°
Sites, in units of the cell vectors:
Be  0.000  0.000  0.000
Co  0.500  0.500  0.500
Te  0.000  0.000  0.500
N  0.000  0.500  0.000
N  0.500  0.000  0.000

Space-group type   P4/mmm (123)
E   -24.11 eV for the cell shown
DOS(E_F)   4.01 states/eV/f.u.
Formation energy (no corrections)   1303 meV per atom
Crystal system   tetragonal
Polymorph energy (0 for the lowest one)   0.233 eV/atom


BeVCo2N | PBE | relaxed

Cell: 3.919 3.919 3.228 Å, 90.00 90.00 90.00°
Sites, in units of the cell vectors:
Be  0.000  0.000  0.000
V  0.500  0.500  0.000
Co  0.000  0.500  0.500
Co  0.500  0.000  0.500
N  0.000  0.000  0.500

Space-group type   P4/mmm (123)
E   -34.94 eV for the cell shown
DOS(E_F)   6.49 states/eV/f.u.
Formation energy (no corrections)   89 meV per atom
Crystal system   tetragonal


NaBeCo3 | PBE | relaxed

Cell: 4.281 4.281 4.281 Å, 90.00 90.00 90.00°
Sites, in units of the cell vectors:
Na  0.000  0.000  0.000
Be  0.500  0.500  0.500
Co  0.000  0.000  0.500
Co  0.000  0.500  0.000
Co  0.500  0.000  0.000

Space-group type   Pm-3m (221)
ΔE_f   2.14 eV/atom
E   -15.64 eV for the cell shown
DOS(E_F)   10.32 states/eV/f.u.
Crystal system   cubic
Polymorph energy (0 for the lowest one)   1.436 eV/atom


NaBe3Co | PBE | relaxed

Cell: 4.094 4.094 4.094 Å, 90.00 90.00 90.00°
Sites, in units of the cell vectors:
Na  0.000  0.000  0.000
Be  0.000  0.500  0.500
Be  0.500  0.000  0.500
Be  0.500  0.500  0.000
Co  0.500  0.500  0.500

Space-group type   Pm-3m (221)
ΔE_f   0.44 eV/atom
E   -17.41 eV for the cell shown
DOS(E_F)   1.87 states/eV/f.u.
Crystal system   cubic
Polymorph energy (0 for the lowest one)   0.000 eV/atom


NaBeCo3 | PBE | relaxed

Cell: 4.039 4.039 4.039 Å, 90.00 90.00 90.00°
Sites, in units of the cell vectors:
Na  0.000  0.000  0.000
Be  0.500  0.500  0.500
Co  0.000  0.500  0.500
Co  0.500  0.000  0.500
Co  0.500  0.500  0.000

Space-group type   Pm-3m (221)
ΔE_f   0.71 eV/atom
E   -22.82 eV for the cell shown
DOS(E_F)   6.13 states/eV/f.u.
Crystal system   cubic
Polymorph energy (0 for the lowest one)   0.000 eV/atom


NaBe3Co | PBE | relaxed

Cell: 4.085 4.085 4.085 Å, 90.00 90.00 90.00°
Sites, in units of the cell vectors:
Na  0.000  0.000  0.000
Be  0.000  0.000  0.500
Be  0.000  0.500  0.000
Be  0.500  0.000  0.000
Co  0.500  0.500  0.500

Space-group type   Pm-3m (221)
ΔE_f   2.00 eV/atom
E   -9.60 eV for the cell shown
DOS(E_F)   5.04 states/eV/f.u.
Crystal system   cubic
Polymorph energy (0 for the lowest one)   1.563 eV/atom


NaBeCo2 | PBE | relaxed

Cell: 8.269 8.269 8.269 Å, 150.67 150.67 41.97°
Sites, in units of the cell vectors:
Na  0.000  0.000  0.000
Na  0.750  0.250  0.500
Be  0.250  0.750  0.500
Be  0.500  0.500  0.000
Co  0.343  0.625  0.218
Co  0.375  0.593  0.718
Co  0.407  0.125  0.782
Co  0.875  0.657  0.282

Space-group type   I-42d (122)
ΔE_f   0.93 eV/atom
E   -31.08 eV for the cell shown
DOS(E_F)   4.90 states/eV/f.u.
Crystal system   tetragonal


NaBeCoP2 | PBE | relaxed

Cell: 5.475 5.475 5.475 Å, 140.04 140.04 57.80°
Sites, in units of the cell vectors:
Na  0.000  0.000  0.000
Be  0.250  0.750  0.500
Co  0.750  0.250  0.500
P  0.376  0.376  0.000
P  0.624  0.624  0.000

Space-group type   I-4m2 (119)
ΔE_f   -0.37 eV/atom
E   -24.85 eV for the cell shown
DOS(E_F)   2.79 states/eV/f.u.
Crystal system   tetragonal


NaBe2CoRh | PBE | relaxed

Cell: 4.144 4.144 4.426 Å, 90.00 90.00 90.00°
Sites, in units of the cell vectors:
Na  0.000  0.000  0.000
Be  0.000  0.500  0.000
Be  0.500  0.000  0.000
Co  0.500  0.500  0.500
Rh  0.000  0.000  0.500

Space-group type   P4/mmm (123)
ΔE_f   1.85 eV/atom
E   -13.98 eV for the cell shown
DOS(E_F)   3.58 states/eV/f.u.
Crystal system   tetragonal


NaBeCoTc2 | PBE | relaxed

Cell: 4.176 4.176 4.369 Å, 90.00 90.00 90.00°
Sites, in units of the cell vectors:
Na  0.000  0.000  0.000
Be  0.000  0.000  0.500
Co  0.500  0.500  0.000
Tc  0.000  0.500  0.500
Tc  0.500  0.000  0.500

Space-group type   P4/mmm (123)
ΔE_f   1.28 eV/atom
E   -26.49 eV for the cell shown
DOS(E_F)   7.27 states/eV/f.u.
Crystal system   tetragonal


Na2YBeCo | PBE | relaxed

Cell: 4.843 4.843 5.475 Å, 90.00 90.00 90.00°
Sites, in units of the cell vectors:
Na  0.000  0.500  0.000
Na  0.500  0.000  0.000
Y  0.000  0.000  0.500
Be  0.000  0.000  0.000
Co  0.500  0.500  0.500

Space-group type   P4/mmm (123)
ΔE_f   1.03 eV/atom
E   -14.79 eV for the cell shown
DOS(E_F)   8.67 states/eV/f.u.
Crystal system   tetragonal


Be6NbCo2 | PBE | relaxed

Cell: 6.303 6.303 6.303 Å, 154.13 124.27 62.42°
Sites, in units of the cell vectors:
Be  0.127  0.819  0.308
Be  0.164  0.000  0.164
Be  0.489  0.181  0.308
Be  0.511  0.819  0.692
Be  0.836  0.000  0.836
Be  0.873  0.181  0.692
Nb  0.500  0.500  0.000
Co  0.131  0.631  0.500
Co  0.869  0.369  0.500

Space-group type   Immm (71)
ΔE_f   -0.05 eV/atom
E   -47.12 eV for the cell shown
DOS(E_F)   5.99 states/eV/f.u.
Crystal system   orthorhombic


BeNb2Co4 | PBE | relaxed

Cell: 6.920 6.920 6.920 Å, 148.50 148.50 45.15°
Sites, in units of the cell vectors:
Be  0.000  0.000  0.000
Nb  0.340  0.340  0.000
Nb  0.660  0.660  0.000
Co  0.000  0.500  0.500
Co  0.153  0.153  0.000
Co  0.500  0.000  0.500
Co  0.847  0.847  0.000

Space-group type   I4/mmm (139)
ΔE_f   0.27 eV/atom
E   -50.37 eV for the cell shown
DOS(E_F)   7.50 states/eV/f.u.
Crystal system   tetragonal


Be17NbCo | PBE | relaxed

Cell: 5.496 5.496 5.496 Å, 82.72 82.72 82.72°
Sites, in units of the cell vectors:
Be  0.052  0.052  0.052
Be  0.147  0.459  0.857
Be  0.147  0.857  0.459
Be  0.164  0.164  0.648
Be  0.164  0.648  0.164
Be  0.252  0.252  0.252
Be  0.296  0.808  0.808
Be  0.459  0.147  0.857
Be  0.459  0.857  0.147
Be  0.507  0.507  0.985
Be  0.507  0.985  0.507
Be  0.648  0.164  0.164
Be  0.808  0.296  0.808
Be  0.808  0.808  0.296
Be  0.857  0.147  0.459
Be  0.857  0.459  0.147
Be  0.985  0.507  0.507
Nb  0.493  0.493  0.493
Co  0.826  0.826  0.826

Space-group type   R3m (160)
ΔE_f   -0.14 eV/atom
E   -83.13 eV for the cell shown
DOS(E_F)   3.77 states/eV/f.u.
Crystal system   trigonal


Be11NbCo | PBE | relaxed

Cell: 5.654 5.654 5.635 Å, 97.84 97.84 135.93°
Sites, in units of the cell vectors:
Be  0.000  0.000  0.000
Be  0.000  0.500  0.500
Be  0.003  0.786  0.284
Be  0.166  0.517  0.149
Be  0.214  0.997  0.716
Be  0.483  0.834  0.851
Be  0.500  0.000  0.500
Be  0.517  0.166  0.149
Be  0.786  0.003  0.284
Be  0.834  0.483  0.851
Be  0.997  0.214  0.716
Nb  0.500  0.500  0.500
Co  0.500  0.500  0.000

Space-group type   C2/m (12)
ΔE_f   -0.18 eV/atom
E   -60.53 eV for the cell shown
DOS(E_F)   4.25 states/eV/f.u.
Crystal system   monoclinic


Be3Nb2Co | PBE | relaxed

Cell: 4.614 4.614 4.614 Å, 60.88 60.88 60.88°
Sites, in units of the cell vectors:
Be  0.000  0.500  0.500
Be  0.500  0.000  0.500
Be  0.500  0.500  0.000
Nb  0.123  0.123  0.123
Nb  0.877  0.877  0.877
Co  0.500  0.500  0.500

Space-group type   R-3m (166)
ΔE_f   -0.23 eV/atom
E   -39.80 eV for the cell shown
DOS(E_F)   5.27 states/eV/f.u.
Crystal system   trigonal


Be2NbCo | PBE | relaxed

Cell: 3.965 3.965 3.965 Å, 60.00 60.00 60.00°
Sites, in units of the cell vectors:
Be  0.250  0.250  0.250
Be  0.750  0.750  0.750
Nb  0.000  0.000  0.000
Co  0.500  0.500  0.500

Space-group type   Fm-3m (225)
ΔE_f   -0.06 eV/atom
E   -24.88 eV for the cell shown
DOS(E_F)   3.96 states/eV/f.u.
Crystal system   cubic
Polymorph energy (0 for the lowest one)   0.157 eV/atom


Be9NbCo2 | PBE | relaxed

Cell: 7.163 7.163 7.163 Å, 34.82 34.82 34.82°
Sites, in units of the cell vectors:
Be  0.000  0.000  0.000
Be  0.090  0.090  0.581
Be  0.090  0.581  0.090
Be  0.167  0.167  0.167
Be  0.419  0.910  0.910
Be  0.581  0.090  0.090
Be  0.833  0.833  0.833
Be  0.910  0.419  0.910
Be  0.910  0.910  0.419
Nb  0.500  0.500  0.500
Co  0.359  0.359  0.359
Co  0.641  0.641  0.641

Space-group type   R-3m (166)
ΔE_f   -0.20 eV/atom
E   -60.24 eV for the cell shown
DOS(E_F)   7.69 states/eV/f.u.
Crystal system   trigonal


Be2NbCo | PBE | relaxed

Cell: 5.680 3.619 8.691 Å, 90.00 90.00 90.00°
Sites, in units of the cell vectors:
Be  0.085  0.250  0.149
Be  0.216  0.750  0.048
Be  0.284  0.250  0.548
Be  0.415  0.750  0.649
Be  0.585  0.250  0.351
Be  0.716  0.750  0.452
Be  0.784  0.250  0.952
Be  0.915  0.750  0.851
Nb  0.235  0.250  0.837
Nb  0.265  0.750  0.337
Nb  0.735  0.250  0.663
Nb  0.765  0.750  0.163
Co  0.039  0.750  0.600
Co  0.461  0.250  0.100
Co  0.539  0.750  0.900
Co  0.961  0.250  0.400

Space-group type   Pnma (62)
ΔE_f   -0.22 eV/atom
E   -102.05 eV for the cell shown
DOS(E_F)   2.69 states/eV/f.u.
Crystal system   orthorhombic
Polymorph energy (0 for the lowest one)   0.000 eV/atom


Be16Nb2Co | PBE | relaxed

Cell: 5.584 5.584 5.584 Å, 83.17 83.17 83.17°
Sites, in units of the cell vectors:
Be  0.000  0.288  0.712
Be  0.000  0.712  0.288
Be  0.001  0.001  0.505
Be  0.001  0.505  0.001
Be  0.104  0.104  0.104
Be  0.159  0.657  0.657
Be  0.288  0.000  0.712
Be  0.288  0.712  0.000
Be  0.350  0.350  0.842
Be  0.350  0.842  0.350
Be  0.505  0.001  0.001
Be  0.657  0.159  0.657
Be  0.657  0.657  0.159
Be  0.712  0.000  0.288
Be  0.712  0.288  0.000
Be  0.842  0.350  0.350
Nb  0.342  0.342  0.342
Nb  0.663  0.663  0.663
Co  0.905  0.905  0.905

Space-group type   R3m (160)
ΔE_f   -0.25 eV/atom
E   -91.60 eV for the cell shown
DOS(E_F)   6.03 states/eV/f.u.
Crystal system   trigonal